Material: K3RbSb2O6
Method: DFT, PBE
State: relaxed

Computed properties:
Magnetic moment: 2.0 Bohr magnetons per cell
ΔE_f (raw): -1532 kJ/mol of formula units
Raw total energy: -4.84 eV per atom

Cell: 6.7012 6.7012 7.3703 Å, 90.00 90.00 120.00°
Last column: nearest neighbours and their distance in Å.
Fractional coordinates of all 12 atoms:
K  0.6667  0.3333  0.3606  9 O 3.30-3.43, 1 Sb 3.52
K  0.0000  0.0000  0.0000  6 O 2.85
K  0.3333  0.6667  0.6394  9 O 3.30-3.43, 1 Sb 3.52
O  0.1810  0.3619  0.2609  1 Sb 1.92
O  0.6380  0.8190  0.2609  1 Sb 1.91
O  0.1810  0.8190  0.2609  1 Sb 1.91
O  0.3620  0.1810  0.7391  1 Sb 1.91
O  0.8190  0.6381  0.7391  1 Sb 1.92
O  0.8190  0.1810  0.7391  1 Sb 1.91
Rb  0.0000  0.0000  0.5000  6 O 2.74
Sb  0.6667  0.3333  0.8388  3 O 1.91-1.92
Sb  0.3333  0.6667  0.1612  3 O 1.91-1.92